No. 1
# InPd6Pt2

A geometry-optimized InPd6Pt2 structure (PBE, Alexandria via LeMat-Bulk).

## Properties
ΔE to the lowest computed polymorph: 0.000 eV/atom

a = 9.173 Å, b = 5.413 Å, c = 6.596 Å
α = 90.00°, β = 109.52°, γ = 90.00°
Space group C2/m (No. 12)
One atom of each set of equivalent atoms:
In (0.000, 0.000, 0.000) [2 per cell]
Pd (0.096, 0.252, 0.380) [8 per cell]
Pd (0.186, 0.500, 0.795) [4 per cell]
Pt (0.201, 0.000, 0.772) [4 per cell]

No. 2
# Zn10IrPt6

A geometry-optimized Zn10IrPt6 structure (PBE, Alexandria via LeMat-Bulk).

## Properties
E: -3.756 eV/atom

a = 7.5342 Å, b = 7.5342 Å, c = 5.2321 Å
α = 90.00°, β = 90.00°, γ = 120.00°
Space group P-31m (No. 162)
One atom of each set of equivalent atoms:
Zn (0.0000, 0.2781, 0.3044) [6 per cell]
Zn (0.3333, 0.6667, 0.0000) [2 per cell]
Zn (0.3333, 0.6667, 0.5000) [2 per cell]
Ir (0.0000, 0.0000, 0.0000) [1 per cell]
Pt (0.0000, 0.3715, 0.7869) [6 per cell]

No. 3
# TcSnH4

A geometry-optimized TcSnH4 structure (PBE, Alexandria via LeMat-Bulk).

## Properties
E: -4.474 eV/atom

a = 11.619 Å, b = 3.140 Å, c = 8.853 Å
α = 90.00°, β = 90.10°, γ = 90.00°
Space group C2/m (No. 12)
One atom of each set of equivalent atoms:
Tc (0.013, 0.000, 0.250) [4 per cell]
Sn (0.000, 0.500, 0.000) [2 per cell]
Sn (0.000, 0.500, 0.500) [2 per cell]
H (0.097, 0.500, 0.250) [4 per cell]
H (0.140, 0.000, 0.701) [4 per cell]
H (0.140, 0.000, 0.800) [4 per cell]
H (0.159, 0.000, 0.250) [4 per cell]

No. 4
# MnZnIn2Pd

A geometry-optimized MnZnIn2Pd structure (PBE, Alexandria via LeMat-Bulk).

## Properties
E: -3.870 eV/atom

a = 5.116 Å, b = 5.116 Å, c = 4.803 Å
α = 90.00°, β = 90.00°, γ = 90.00°
Space group P4/mmm (No. 123)
One atom of each set of equivalent atoms:
Mn (0.000, 0.000, 0.000) [1 per cell]
Zn (0.500, 0.500, 0.000) [1 per cell]
In (0.000, 0.500, 0.500) [2 per cell]
Pd (0.500, 0.500, 0.500) [1 per cell]